Crystalline Ca2Mg3Bi4 at its relaxed geometry. Source: the Alexandria database, functional PBE-GGA.

The total energy comes out at -3.1721 eV per atom. The value obtained for the formation energy from the elements is -0.4709 eV per atom.

It has space group Cmce (No. 64), with a = 6.8935 Å, b = 16.9416 Å, c = 8.9803 Å, α = 90.00°, β = 90.00° and γ = 90.00°. Symmetry generates all atoms from Ca at (0.0000, 0.1172, 0.0826), Mg at (0.0000, 0.0000, 0.5000), Mg at (0.2500, 0.2141, 0.7500), Bi at (0.0000, 0.1876, 0.4428) and Bi at (0.2500, 0.0420, 0.7500).

=====

Crystalline Ca2Mg2Bi3 at its relaxed geometry. Source: the Alexandria database, functional PBE-GGA.

The total energy comes out at -3.2738 eV per atom. The value obtained for the formation energy from the elements is -0.5831 eV per atom.

It has space group C2/m (No. 12), with a = 17.1117 Å, b = 4.8020 Å, c = 13.0461 Å, α = 90.00°, β = 125.61° and γ = 90.00°. Symmetry generates all atoms from Ca at (0.1026, 0.0000, 0.4527), Ca at (0.2353, 0.0000, 0.8271), Mg at (0.0506, 0.5000, 0.8170), Mg at (0.0828, 0.0000, 0.1590), Bi at (0.0990, 0.5000, 0.6291), Bi at (0.1338, 0.0000, 0.9789) and Bi at (0.1608, 0.5000, 0.3252).

=====

Crystalline CaMgBi2 at its relaxed geometry. Source: the Alexandria database, functional PBE-GGA.

The total energy comes out at -3.2350 eV per atom. The value obtained for the formation energy from the elements is -0.3955 eV per atom.

It has space group P4/mmm (No. 123), with a = 4.1312 Å, b = 4.1312 Å, c = 6.8612 Å, α = 90.00°, β = 90.00° and γ = 90.00°. Symmetry generates all atoms from Ca at (0.0000, 0.0000, 0.0000), Mg at (0.0000, 0.0000, 0.5000) and Bi at (0.5000, 0.5000, 0.2608).

=====

Crystalline Ca5Mg2Bi5 at its relaxed geometry. Source: the Alexandria database, functional PBE-GGA.

The total energy comes out at -3.3340 eV per atom. The value obtained for the formation energy from the elements is -0.6171 eV per atom.

It has space group I4mm (No. 107), with a = 10.4584 Å, b = 10.4584 Å, c = 7.6747 Å, α = 90.00°, β = 90.00° and γ = 90.00°. Symmetry generates all atoms from Ca at (0.0000, 0.0000, 0.0000), Ca at (0.2046, 0.2046, 0.4274), Mg at (0.0000, 0.5000, 0.3654), Bi at (0.0000, 0.0000, 0.5823) and Bi at (0.0000, 0.2923, 0.1170).

=====

Crystalline CaMg3Bi3 at its relaxed geometry. Source: the Alexandria database, functional PBE-GGA.

The total energy comes out at -2.9109 eV per atom. Its relative energy among the computed polymorphs is 76.3 meV/atom. The value obtained for the formation energy from the elements is -0.2783 eV per atom.

It has space group P6_3/m (No. 176), with a = 12.3610 Å, b = 12.3610 Å, c = 4.0957 Å, α = 90.00°, β = 90.00° and γ = 120.00°. Symmetry generates all atoms from Ca at (0.3333, 0.6667, 0.2500), Mg at (0.0640, 0.4317, 0.7500) and Bi at (0.1286, 0.6996, 0.7500).

=====

Crystalline CaMg2Bi2 at its relaxed geometry. Source: the Alexandria database, functional PBE-GGA.

The total energy comes out at -3.1283 eV per atom. Its relative energy among the computed polymorphs is 0.0 meV/atom. The value obtained for the formation energy from the elements is -0.5377 eV per atom.

It has space group P-3m1 (No. 164), with a = 4.8012 Å, b = 4.8012 Å, c = 7.7315 Å, α = 90.00°, β = 90.00° and γ = 120.00°. Symmetry generates all atoms from Ca at (0.0000, 0.0000, 0.0000), Mg at (0.3333, 0.6667, 0.6281) and Bi at (0.3333, 0.6667, 0.2390).